DFT (PBEsol) results for a relaxed Zr3Sc crystal.

Geometry as POSCAR:
```
Zr3Sc
1.0
-6.022 -2.109 -0.167
4.526 -2.997 -3.359
1.897 -6.047 7.949
Sc Zr
4 12
Cartesian
0.000 0.000 0.000
0.948 -3.023 3.974
-1.084 -6.940 4.730
1.484 -4.212 -0.308
2.263 -1.498 -1.680
3.211 -4.522 2.295
-3.786 -3.769 1.287
-1.529 -5.264 -0.389
1.182 -8.435 3.052
-0.748 -2.553 -1.763
0.200 -5.576 2.211
-3.011 -1.055 -0.084
-2.063 -4.078 3.891
-0.782 -2.717 1.370
1.928 -5.888 4.811
4.186 -7.383 3.136
```

Values from the calculation:
DFT formation energy ... 8 kJ/mol of formula units
E_tot ... -8.45 eV/atom
N(E_F) ... 1.210 states/eV/atom
Excess energy over the best structure of this formula in the dataset ... 30 meV per atom

=====

DFT (PBEsol) results for a relaxed Zr3Sc crystal.

Geometry as POSCAR:
```
Zr3Sc
1.0
-2.138 -0.008 2.333
-1.046 -4.204 -0.972
4.428 -2.038 4.050
Sc Zr
1 3
Cartesian
0.000 0.000 0.000
2.214 -1.019 2.025
-0.473 -2.621 1.704
1.718 -3.629 3.708
```

Values from the calculation:
DFT formation energy ... 14 kJ/mol of formula units
E_tot ... -8.43 eV/atom
N(E_F) ... 1.476 states/eV/atom
Excess energy over the best structure of this formula in the dataset ... 46 meV per atom

=====

DFT (PBEsol) results for a relaxed ZrSc3 crystal.

Geometry as POSCAR:
```
ZrSc3
1.0
3.176 0.000 0.000
0.000 3.176 0.000
0.000 0.000 9.090
Sc Zr
3 1
Cartesian
0.000 0.000 6.894
0.000 0.000 2.196
1.588 1.588 4.545
1.588 1.588 0.000
```

Values from the calculation:
DFT formation energy ... 10 kJ/mol of formula units
E_tot ... -7.20 eV/atom
N(E_F) ... 1.542 states/eV/atom
Excess energy over the best structure of this formula in the dataset ... 31 meV per atom

=====

DFT (PBEsol) results for a relaxed Zr3Sc crystal.

Geometry as POSCAR:
```
Zr3Sc
1.0
5.500 0.000 0.000
0.000 6.345 0.000
0.000 0.000 15.336
Sc Zr
6 18
Cartesian
5.493 3.173 7.668
1.828 3.173 2.561
1.828 3.173 12.775
0.007 0.000 0.000
3.673 0.000 10.229
3.673 0.000 5.107
4.594 4.748 2.568
4.594 4.748 12.768
2.754 4.759 7.668
2.746 4.758 0.000
0.906 4.770 10.235
0.906 4.770 5.100
0.012 3.173 0.000
3.666 3.173 10.235
3.666 3.173 5.100
4.594 1.597 2.568
4.594 1.597 12.768
2.754 1.586 7.668
2.746 1.587 0.000
0.906 1.575 10.235
0.906 1.575 5.100
5.488 0.000 7.668
1.834 0.000 2.568
1.834 0.000 12.768
```

Values from the calculation:
DFT formation energy ... 9 kJ/mol of formula units
E_tot ... -8.45 eV/atom
N(E_F) ... 1.279 states/eV/atom
Excess energy over the best structure of this formula in the dataset ... 32 meV per atom

=====

DFT (PBEsol) results for a relaxed Zr5Sc crystal.

Geometry as POSCAR:
```
Zr5Sc
1.0
5.794 0.000 0.000
2.897 5.018 0.000
2.897 1.673 4.731
Sc Zr
1 5
Cartesian
0.000 0.000 0.000
5.794 3.345 0.600
2.897 1.673 1.183
5.794 1.681 2.954
7.235 4.177 2.954
4.352 4.177 2.954
```

Values from the calculation:
DFT formation energy ... 163 kJ/mol of formula units
E_tot ... -8.39 eV/atom
N(E_F) ... 2.382 states/eV/atom

=====

DFT (PBEsol) results for a relaxed Zr3Sc crystal.

Geometry as POSCAR:
```
Zr3Sc
1.0
-1.260 -0.807 -2.764
4.897 -1.758 -1.719
-2.679 -4.120 2.423
Sc Zr
1 3
Cartesian
0.000 0.000 0.000
-1.969 -2.463 -0.171
1.818 -1.282 -2.241
1.109 -2.939 0.352
```

Values from the calculation:
DFT formation energy ... 14 kJ/mol of formula units
E_tot ... -8.43 eV/atom
N(E_F) ... 1.474 states/eV/atom
Excess energy over the best structure of this formula in the dataset ... 46 meV per atom

=====

DFT (PBEsol) results for a relaxed Zr3Sc5 crystal.

Geometry as POSCAR:
```
Zr3Sc5
1.0
4.468 0.000 0.000
0.000 6.360 0.001
0.000 -0.040 6.360
Sc Zr
5 3
Cartesian
0.000 0.000 0.000
0.000 -0.020 3.180
0.000 3.180 0.000
2.234 4.746 1.604
2.234 1.574 4.756
0.000 3.160 3.180
2.234 1.636 1.647
2.234 4.684 4.714
```

Values from the calculation:
DFT formation energy ... 18 kJ/mol of formula units
E_tot ... -7.51 eV/atom
N(E_F) ... 1.302 states/eV/atom

=====

DFT (PBEsol) results for a relaxed ZrSc3 crystal.

Geometry as POSCAR:
```
ZrSc3
1.0
-2.436 2.045 -0.544
-1.323 -2.662 -4.080
-3.395 -3.196 3.186
Sc Zr
3 1
Cartesian
-0.024 -0.023 0.023
-2.903 -0.564 1.309
-4.693 -2.957 0.328
-1.797 -2.400 -0.974
```

Values from the calculation:
DFT formation energy ... 1 kJ/mol of formula units
E_tot ... -7.22 eV/atom
N(E_F) ... 1.798 states/eV/atom
Excess energy over the best structure of this formula in the dataset ... 5 meV per atom

=====

DFT (PBEsol) results for a relaxed Zr5Sc crystal.

Geometry as POSCAR:
```
Zr5Sc
1.0
3.187 0.000 0.000
-1.593 5.780 -0.002
0.000 -1.787 7.308
Sc Zr
1 5
Cartesian
1.593 3.983 7.282
0.000 4.022 2.032
1.593 1.348 2.436
0.000 -0.458 4.465
0.000 2.637 4.869
1.593 0.882 6.921
```

Values from the calculation:
DFT formation energy ... -5 kJ/mol of formula units
E_tot ... -8.68 eV/atom
N(E_F) ... 0.674 states/eV/atom

=====

DFT (PBEsol) results for a relaxed ZrSc3 crystal.

Geometry as POSCAR:
```
ZrSc3
1.0
-2.452 1.686 1.254
-0.549 -3.846 4.096
4.748 3.670 0.192
Sc Zr
3 1
Cartesian
1.631 1.302 1.438
-1.682 -2.350 4.028
0.116 0.212 4.101
-0.185 -1.297 1.381
```

Values from the calculation:
DFT formation energy ... -1 kJ/mol of formula units
E_tot ... -7.23 eV/atom
N(E_F) ... 1.728 states/eV/atom
Excess energy over the best structure of this formula in the dataset ... 0 meV per atom

=====

DFT (PBEsol) results for a relaxed ZrSc3 crystal.

Geometry as POSCAR:
```
ZrSc3
1.0
3.185 0.000 0.000
0.000 4.471 0.000
0.000 0.000 6.417
Sc Zr
3 1
Cartesian
0.000 0.000 4.877
0.000 0.000 1.539
1.593 2.235 3.208
1.593 2.235 0.000
```

Values from the calculation:
DFT formation energy ... 10 kJ/mol of formula units
E_tot ... -7.20 eV/atom
N(E_F) ... 1.364 states/eV/atom
Excess energy over the best structure of this formula in the dataset ... 30 meV per atom

=====

DFT (PBEsol) results for a relaxed Zr3Sc crystal.

Geometry as POSCAR:
```
Zr3Sc
1.0
-1.124 1.737 2.441
-2.027 -1.586 -1.902
0.654 -8.128 6.083
Sc Zr
1 3
Cartesian
0.000 0.000 0.000
0.327 -4.064 3.041
-0.936 -5.455 5.547
-1.260 -1.415 2.524
```

Values from the calculation:
DFT formation energy ... 0 kJ/mol of formula units
E_tot ... -8.47 eV/atom
N(E_F) ... 1.266 states/eV/atom
Excess energy over the best structure of this formula in the dataset ... 10 meV per atom